No. 1
Below is a relaxed structure of HfAlCuHg, with properties calculated at the PBE-GGA level.

```
4
Lattice="3.5469 -2.9596 0.4615 0.6073 -2.2909 3.9919 -0.7999 -4.5687 0.1993" Properties=species:S:1:pos:R:3 pbc="T T T"
Al 0.0000 0.0000 0.0000
Cu 2.5157 -7.3644 3.4895
Hf 1.6771 -4.9096 2.3263
Hg 0.8386 -2.4548 1.1632
```

Summary:
size of the total moment	0.00	μB per formula unit
ΔE to the lowest computed polymorph	0	meV per atom
volume	17.7	Å³ per atom
density	11.0	g/cm3

No. 2
Below is a relaxed structure of HfAlCuHg, with properties calculated at the PBE-GGA level.

```
4
Lattice="0.0000 3.2981 3.2981 3.2981 0.0000 3.2981 3.2981 3.2981 0.0000" Properties=species:S:1:pos:R:3 pbc="T T T"
Al 0.0000 0.0000 0.0000
Cu 4.9472 4.9472 4.9472
Hf 1.6491 1.6491 1.6491
Hg 3.2981 3.2981 3.2981
```

Summary:
size of the total moment	0.00	μB per formula unit
ΔE to the lowest computed polymorph	56	meV per atom
volume	17.9	Å³ per atom
density	10.9	g/cm3

Repeat the first record exactly.
Below is a relaxed structure of HfAlCuHg, with properties calculated at the PBE-GGA level.

```
4
Lattice="3.5469 -2.9596 0.4615 0.6073 -2.2909 3.9919 -0.7999 -4.5687 0.1993" Properties=species:S:1:pos:R:3 pbc="T T T"
Al 0.0000 0.0000 0.0000
Cu 2.5157 -7.3644 3.4895
Hf 1.6771 -4.9096 2.3263
Hg 0.8386 -2.4548 1.1632
```

Summary:
size of the total moment	0.00	μB per formula unit
ΔE to the lowest computed polymorph	0	meV per atom
volume	17.7	Å³ per atom
density	11.0	g/cm3